No. 1
# Sm4In3Pb, optimized geometry, DFT PBE
# * VASP energy: -4.33 eV/atom
data_Sm4In3Pb
_chemical_formula_sum 'Sm8 In6 Pb2'
_cell_length_a 11.0505
_cell_length_b 7.2690
_cell_length_c 5.6470
_cell_angle_alpha 90.00
_cell_angle_beta 90.00
_cell_angle_gamma 90.00
_symmetry_space_group_name_H-M 'P m m a'
_symmetry_Int_Tables_number 51
loop_
_symmetry_equiv_pos_as_xyz
'x,y,z'
'-x,-y,-z'
'-x+1/2,-y,z'
'x+1/2,y,-z'
'x+1/2,-y,-z'
'-x+1/2,y,z'
'-x,y,-z'
'x,-y,z'
loop_
_atom_site_label
_atom_site_type_symbol
_atom_site_fract_x
_atom_site_fract_y
_atom_site_fract_z
Sm1 Sm 0.0000 0.2475 0.0000
Sm2 Sm 0.2500 0.2480 0.4192
In1 In 0.0000 0.0000 0.5000
In2 In 0.2500 0.0000 0.9083
In3 In 0.2500 0.5000 0.9128
Pb1 Pb 0.0000 0.5000 0.5000


No. 2
# Sm8InPb5, optimized geometry, DFT PBE
# * VASP energy: -4.74 eV/atom
data_Sm8InPb5
_chemical_formula_sum 'Sm16 In2 Pb10'
_cell_length_a 9.5852
_cell_length_b 9.5852
_cell_length_c 9.5854
_cell_angle_alpha 90.00
_cell_angle_beta 90.00
_cell_angle_gamma 90.00
_symmetry_space_group_name_H-M 'I -4'
_symmetry_Int_Tables_number 82
loop_
_symmetry_equiv_pos_as_xyz
'x,y,z'
'y,-x,-z'
'-x,-y,z'
'-y,x,-z'
'x+1/2,y+1/2,z+1/2'
'y+1/2,-x+1/2,-z+1/2'
'-x+1/2,-y+1/2,z+1/2'
'-y+1/2,x+1/2,-z+1/2'
loop_
_atom_site_label
_atom_site_type_symbol
_atom_site_fract_x
_atom_site_fract_y
_atom_site_fract_z
Sm1 Sm 0.0677 0.3200 0.4461
Sm2 Sm 0.0716 0.1805 0.8049
In1 In 0.0000 0.0000 0.5000
Pb1 Pb 0.0000 0.5000 0.7500
Pb2 Pb 0.1252 0.2486 0.1259


No. 3
# Sm3InPb3, optimized geometry, DFT PBE
# * VASP energy: -4.33 eV/atom
data_Sm3InPb3
_chemical_formula_sum 'Sm6 In2 Pb6'
_cell_length_a 9.0531
_cell_length_b 9.0531
_cell_length_c 5.8906
_cell_angle_alpha 90.00
_cell_angle_beta 90.00
_cell_angle_gamma 120.00
_symmetry_space_group_name_H-M 'P 63/m'
_symmetry_Int_Tables_number 176
_symmetry_space_group_name_Hall '-P 6c'
loop_
_atom_site_label
_atom_site_type_symbol
_atom_site_fract_x
_atom_site_fract_y
_atom_site_fract_z
Sm1 Sm 0.0914 0.4487 0.2500
In1 In 0.3333 0.6667 0.7500
Pb1 Pb 0.0592 0.2615 0.7500


No. 4
# Sm6In3Pb, optimized geometry, DFT PBE
# * VASP energy: -4.31 eV/atom
data_Sm6In3Pb
_chemical_formula_sum 'Sm24 In12 Pb4'
_cell_length_a 9.9664
_cell_length_b 17.9932
_cell_length_c 6.8884
_cell_angle_alpha 90.00
_cell_angle_beta 90.00
_cell_angle_gamma 90.00
_symmetry_space_group_name_H-M 'C m c 21'
_symmetry_Int_Tables_number 36
loop_
_symmetry_equiv_pos_as_xyz
'x,y,z'
'-x,-y,z+1/2'
'-x,y,z'
'x,-y,z+1/2'
'x+1/2,y+1/2,z'
'-x+1/2,-y+1/2,z+1/2'
'-x+1/2,y+1/2,z'
'x+1/2,-y+1/2,z+1/2'
loop_
_atom_site_label
_atom_site_type_symbol
_atom_site_fract_x
_atom_site_fract_y
_atom_site_fract_z
Sm1 Sm 0.0000 0.0190 0.0000
Sm2 Sm 0.0000 0.2939 0.9798
Sm3 Sm 0.1826 0.2754 0.4652
Sm4 Sm 0.1906 0.4438 0.2158
In1 In 0.0000 0.4144 0.6195
In2 In 0.2044 0.1113 0.2804
Pb1 Pb 0.0000 0.1507 0.6949